No. 1
An optimized crystal structure of LaZnP2Cl, computed with PBE-GGA.

Results
As for the energy relative to the elements, uncorrected: 175 meV/atom. Its total energy is -3.5987 eV/atom. The space group is P4/mmm. The crystal system is tetragonal.

Unit cell a=5.8250 b=5.8250 c=5.5320 alpha=90.00 beta=90.00 gamma=90.00
Closest atoms and distances in Å follow each position.
Element x y z (fractional)
La: 0.0000 0.0000 0.0000  2 Cl 2.77, 4 P 2.91
Zn: 0.5000 0.5000 0.5000  8 P 4.02, 4 Cl 4.12
P: 0.0000 0.5000 0.0000  2 La 2.91
P: 0.5000 0.0000 0.0000  2 La 2.91
Cl: 0.0000 0.0000 0.5000  2 La 2.77



No. 2
An optimized crystal structure of Ca4TlSn2, computed with PBE-GGA.

Results
Its total energy is -3.1721 eV/atom. The space group is R-3m. The crystal system is trigonal. The formation energy comes out at -0.55 eV per atom.

Unit cell a=9.3321 b=9.3321 c=9.3321 alpha=33.70 beta=33.70 gamma=33.70
Closest atoms and distances in Å follow each position.
Element x y z (fractional)
Ca: 0.1209 0.1209 0.1209  4 Sn 3.27-3.40, 3 Tl 3.35
Ca: 0.3726 0.3726 0.3726  4 Sn 3.24-3.34, 1 Tl 3.36
Ca: 0.6274 0.6274 0.6274  4 Sn 3.24-3.34, 1 Tl 3.36
Ca: 0.8791 0.8791 0.8791  4 Sn 3.27-3.40, 3 Tl 3.35
Tl: 0.5000 0.5000 0.5000  8 Ca 3.35-3.36
Sn: 0.2497 0.2497 0.2497  8 Ca 3.24-3.40
Sn: 0.7503 0.7503 0.7503  8 Ca 3.24-3.40



No. 3
An optimized crystal structure of Nd2Pd4Pb3, computed with PBE-GGA.

Results
Its total energy is -5.1358 eV/atom. The space group is Cmce. The crystal system is orthorhombic. The formation energy comes out at -0.53 eV per atom.

Unit cell a=9.1593 b=9.1593 c=7.5380 alpha=90.00 beta=90.00 gamma=139.24
Closest atoms and distances in Å follow each position.
Element x y z (fractional)
Nd: 0.1032 0.8968 0.9114  5 Pd 3.06-3.39, 2 Pb 3.38
Nd: 0.3968 0.6032 0.4114  5 Pd 3.06-3.39, 2 Pb 3.38
Nd: 0.6032 0.3968 0.5886  5 Pd 3.06-3.39, 2 Pb 3.38
Nd: 0.8968 0.1032 0.0886  5 Pd 3.06-3.39, 2 Pb 3.38
Pd: 0.1622 0.8378 0.5195  5 Pb 2.79-2.91, 2 Pd 3.02, 1 Nd 3.12
Pd: 0.1790 0.3210 0.7500  3 Pb 2.75-2.87, 2 Pd 3.02, 2 Nd 3.06
Pd: 0.3210 0.1790 0.2500  3 Pb 2.75-2.87, 2 Pd 3.02, 2 Nd 3.06
Pd: 0.3378 0.6622 0.0195  5 Pb 2.79-2.91, 2 Pd 3.02, 1 Nd 3.12
Pd: 0.6622 0.3378 0.9805  5 Pb 2.79-2.91, 2 Pd 3.02, 1 Nd 3.12
Pd: 0.6790 0.8210 0.7500  3 Pb 2.75-2.87, 2 Pd 3.02, 2 Nd 3.06
Pd: 0.8210 0.6790 0.2500  3 Pb 2.75-2.87, 2 Pd 3.02, 2 Nd 3.06
Pd: 0.8378 0.1622 0.4805  5 Pb 2.79-2.91, 2 Pd 3.02, 1 Nd 3.12
Pb: 0.0000 0.0000 0.5000  6 Pd 2.75-2.79
Pb: 0.0117 0.4883 0.7500  5 Pd 2.87-2.91, 2 Pb 3.19
Pb: 0.4883 0.0117 0.2500  5 Pd 2.87-2.91, 2 Pb 3.19
Pb: 0.5000 0.5000 0.0000  6 Pd 2.75-2.79
Pb: 0.5117 0.9883 0.7500  5 Pd 2.87-2.91, 2 Pb 3.19
Pb: 0.9883 0.5117 0.2500  5 Pd 2.87-2.91, 2 Pb 3.19



No. 4
An optimized crystal structure of BaFe2Tc, computed with PBE-GGA.

Results
Its total energy is -6.6858 eV/atom. The space group is P4/mmm. The crystal system is tetragonal. The formation energy comes out at 0.62 eV per atom.

Unit cell a=3.2449 b=3.2449 c=7.4562 alpha=90.00 beta=90.00 gamma=90.00
Closest atoms and distances in Å follow each position.
Element x y z (fractional)
Ba: 0.0000 0.0000 0.0000  4 Ba 3.24, 8 Fe 3.44
Fe: 0.5000 0.5000 0.3446  1 Fe 2.32, 4 Tc 2.57
Fe: 0.5000 0.5000 0.6554  1 Fe 2.32, 4 Tc 2.57
Tc: 0.0000 0.0000 0.5000  8 Fe 2.57



No. 5
An optimized crystal structure of MnHAu2, computed with PBE-GGA.

Results
Its total energy is -4.5297 eV/atom. The space group is I-42d. The crystal system is tetragonal.

Unit cell a=5.3116 b=5.3116 c=5.3116 alpha=104.55 beta=104.55 gamma=119.84
Closest atoms and distances in Å follow each position.
Element x y z (fractional)
Mn: 0.0000 0.0000 0.0000  2 H 2.66, 8 Au 2.79-2.80
Mn: 0.7500 0.2500 0.5000  2 H 2.66, 8 Au 2.79-2.80
H: 0.2500 0.7500 0.5000  4 Au 2.06
H: 0.5000 0.5000 0.0000  4 Au 2.06
Au: 0.2104 0.6250 0.0854  2 H 2.06
Au: 0.3750 0.4604 0.5854  2 H 2.06
Au: 0.5396 0.1250 0.9146  2 H 2.06
Au: 0.8750 0.7896 0.4146  2 H 2.06



No. 6
An optimized crystal structure of BaGaP2C, computed with PBE-GGA.

Results
Its total energy is -4.3841 eV/atom. The space group is P4/mmm. The crystal system is tetragonal. The formation energy comes out at 0.61 eV per atom.

Unit cell a=4.8218 b=4.8218 c=4.2313 alpha=90.00 beta=90.00 gamma=90.00
Closest atoms and distances in Å follow each position.
Element x y z (fractional)
Ba: 0.0000 0.0000 0.0000  8 P 3.21, 4 Ga 3.41
Ga: 0.5000 0.5000 0.0000  2 C 2.12
P: 0.0000 0.5000 0.5000  2 C 2.41
P: 0.5000 0.0000 0.5000  2 C 2.41
C: 0.5000 0.5000 0.5000  2 Ga 2.12



No. 7
An optimized crystal structure of TlAg2SnCl8, computed with PBE-GGA.

Results
As for the energy relative to the elements, uncorrected: -699 meV/atom. Its total energy is -2.9360 eV/atom. The space group is P-1. The crystal system is triclinic.

Unit cell a=6.3928 b=6.5316 c=8.4765 alpha=95.87 beta=96.10 gamma=92.63
Closest atoms and distances in Å follow each position.
Element x y z (fractional)
Tl: 0.0000 0.0000 0.0000  6 Cl 2.81-3.07
Ag: 0.4404 0.4446 0.7726  3 Cl 2.50-2.61
Ag: 0.5596 0.5554 0.2274  3 Cl 2.50-2.61
Sn: 0.0000 0.0000 0.5000  6 Cl 2.48-2.50
Cl: 0.1853 0.8093 0.2923  1 Sn 2.49
Cl: 0.2277 0.8549 0.7114  1 Sn 2.48
Cl: 0.2572 0.3022 0.5057  1 Ag 2.50, 1 Sn 2.50
Cl: 0.3069 0.3271 0.0315  2 Ag 2.51-2.61, 1 Tl 2.81
Cl: 0.6931 0.6729 0.9685  2 Ag 2.51-2.61, 1 Tl 2.81
Cl: 0.7428 0.6978 0.4943  1 Ag 2.50, 1 Sn 2.50
Cl: 0.7723 0.1451 0.2886  1 Sn 2.48
Cl: 0.8147 0.1907 0.7077  1 Sn 2.49



No. 8
An optimized crystal structure of DyAl7Pd5, computed with PBE-GGA.

Results
Its total energy is -5.1110 eV/atom. The space group is Imm2. The crystal system is orthorhombic. The formation energy comes out at -0.74 eV per atom.

Unit cell a=6.8434 b=6.8434 c=6.8434 alpha=133.39 beta=96.84 gamma=101.18
Closest atoms and distances in Å follow each position.
Element x y z (fractional)
Dy: 0.0000 0.0000 0.0000  8 Al 2.97-3.31, 6 Pd 3.31
Al: 0.2176 0.5088 0.7088  5 Pd 2.57-2.63, 1 Al 2.82
Al: 0.3325 0.9843 0.3482  5 Pd 2.65-2.78, 2 Al 2.76-2.83
Al: 0.3417 0.3417 0.0000  1 Al 2.62, 6 Pd 2.89-2.91
Al: 0.6361 0.9843 0.6518  5 Pd 2.65-2.78, 2 Al 2.76-2.83
Al: 0.6433 0.6433 0.0000  5 Al 2.62-2.92, 4 Pd 2.68
Al: 0.7688 0.2688 0.5000  4 Pd 2.50
Al: 0.7999 0.5088 0.2912  5 Pd 2.57-2.63, 1 Al 2.82
Pd: 0.2187 0.7187 0.5000  6 Al 2.63-2.91, 4 Pd 2.81
Pd: 0.5203 0.0035 0.0196  6 Al 2.50-2.78, 2 Pd 2.69-2.72
Pd: 0.5203 0.5007 0.5168  6 Al 2.50-2.78, 2 Pd 2.69-2.72
Pd: 0.9839 0.0035 0.4832  6 Al 2.50-2.78, 2 Pd 2.69-2.72
Pd: 0.9839 0.5007 0.9804  6 Al 2.50-2.78, 2 Pd 2.69-2.72



No. 9
An optimized crystal structure of GdEr2Cd, computed with PBE-GGA.

Results
Its total energy is -6.1681 eV/atom. The space group is P4/mmm. The crystal system is tetragonal. The formation energy comes out at -0.14 eV per atom.

Unit cell a=3.5650 b=3.5650 c=9.0238 alpha=90.00 beta=90.00 gamma=90.00
Closest atoms and distances in Å follow each position.
Element x y z (fractional)
Gd: 0.0000 0.0000 0.0000  8 Er 3.54, 4 Gd 3.56
Er: 0.5000 0.5000 0.2751  4 Cd 3.24, 4 Gd 3.54, 4 Er 3.56
Er: 0.5000 0.5000 0.7249  4 Cd 3.24, 4 Gd 3.54, 4 Er 3.56
Cd: 0.0000 0.0000 0.5000  8 Er 3.24, 4 Cd 3.56



No. 10
An optimized crystal structure of Sm2In3Ga3, computed with PBE-GGA.

Results
Its total energy is -3.8181 eV/atom. The space group is Pmmm. The crystal system is orthorhombic. The formation energy comes out at -0.48 eV per atom.

Unit cell a=4.4166 b=4.5226 c=9.2641 alpha=90.00 beta=90.00 gamma=90.00
Closest atoms and distances in Å follow each position.
Element x y z (fractional)
Sm: 0.0000 0.0000 0.2427  6 Ga 3.15-3.16, 6 In 3.19-3.29
Sm: 0.0000 0.0000 0.7573  6 Ga 3.15-3.16, 6 In 3.19-3.29
In: 0.0000 0.5000 0.0000  8 Ga 3.14-3.16, 4 Sm 3.19
In: 0.0000 0.5000 0.5000  4 In 3.16, 4 Ga 3.26, 4 Sm 3.29
In: 0.5000 0.0000 0.5000  4 In 3.16, 4 Sm 3.25, 4 Ga 3.30
Ga: 0.5000 0.0000 0.0000  4 Sm 3.15, 4 In 3.16, 4 Ga 3.18
Ga: 0.5000 0.5000 0.2410  6 In 3.14-3.30, 4 Sm 3.16, 2 Ga 3.18
Ga: 0.5000 0.5000 0.7590  6 In 3.14-3.30, 4 Sm 3.16, 2 Ga 3.18



No. 11
An optimized crystal structure of MgTaAlRe, computed with PBE-GGA.

Results
Its total energy is -7.4878 eV/atom. The space group is F-43m. The crystal system is cubic. The formation energy comes out at -0.08 eV per atom.

Unit cell a=4.5066 b=4.5066 c=4.5066 alpha=60.00 beta=60.00 gamma=60.00
Closest atoms and distances in Å follow each position.
Element x y z (fractional)
Mg: 0.0000 0.0000 0.0000  4 Ta 2.76, 4 Al 2.76
Ta: 0.7500 0.7500 0.7500  4 Re 2.76, 4 Mg 2.76
Al: 0.2500 0.2500 0.2500  4 Re 2.76, 4 Mg 2.76
Re: 0.5000 0.5000 0.5000  4 Ta 2.76, 4 Al 2.76



No. 12
An optimized crystal structure of Fe2ReBr, computed with PBE-GGA.

Results
As for the energy relative to the elements, uncorrected: 1009 meV/atom. Its total energy is -6.7526 eV/atom. The space group is Pmmm. The crystal system is orthorhombic.

Unit cell a=2.9023 b=4.4391 c=4.5100 alpha=90.00 beta=90.00 gamma=90.00
Closest atoms and distances in Å follow each position.
Element x y z (fractional)
Fe: 0.0000 0.0000 0.0000  4 Br 2.65, 6 Fe 2.68-2.90
Fe: 0.5000 0.0000 0.5000  4 Re 2.65, 6 Fe 2.68-2.90
Re: 0.0000 0.5000 0.5000  4 Fe 2.65, 4 Br 2.68, 2 Re 2.90
Br: 0.5000 0.5000 0.0000  4 Fe 2.65, 4 Re 2.68, 2 Br 2.90



No. 13
An optimized crystal structure of TbHoRuPt, computed with PBE-GGA.

Results
Its total energy is -6.9640 eV/atom. The space group is P4mm. The crystal system is tetragonal. The formation energy comes out at -0.83 eV per atom.

Unit cell a=3.4694 b=3.4694 c=6.7875 alpha=90.00 beta=90.00 gamma=90.00
Closest atoms and distances in Å follow each position.
Element x y z (fractional)
Tb: 0.0000 0.0000 0.0000  4 Ru 2.97, 4 Pt 3.02, 1 Ho 3.32
Ho: 0.0000 0.0000 0.4896  4 Ru 2.95, 4 Pt 2.99
Ru: 0.5000 0.5000 0.2472  4 Ho 2.95, 4 Tb 2.97
Pt: 0.5000 0.5000 0.7413  4 Ho 2.99, 4 Tb 3.02



No. 14
An optimized crystal structure of LaGa2Pb2, computed with PBE-GGA.

Results
Its total energy is -3.9494 eV/atom. The space group is P4/mbm. The crystal system is tetragonal. The formation energy comes out at -0.27 eV per atom.

Unit cell a=8.0593 b=8.0593 c=4.0724 alpha=90.00 beta=90.00 gamma=90.00
Closest atoms and distances in Å follow each position.
Element x y z (fractional)
La: 0.0000 0.0000 0.0000  4 Ga 3.23, 8 Pb 3.62
La: 0.5000 0.5000 0.0000  4 Ga 3.23, 8 Pb 3.62
Ga: 0.1165 0.3835 0.0000  1 Ga 2.66
Ga: 0.3835 0.8835 0.0000  1 Ga 2.66
Ga: 0.6165 0.1165 0.0000  1 Ga 2.66
Ga: 0.8835 0.6165 0.0000  1 Ga 2.66
Pb: 0.1706 0.6706 0.5000  6 Ga 3.11-3.17
Pb: 0.3294 0.1706 0.5000  6 Ga 3.11-3.17
Pb: 0.6706 0.8294 0.5000  6 Ga 3.11-3.17
Pb: 0.8294 0.3294 0.5000  6 Ga 3.11-3.17



No. 15
An optimized crystal structure of TmThFe2, computed with PBE-GGA.

Results
Its total energy is -7.1178 eV/atom. The space group is P4/mmm. The crystal system is tetragonal. The formation energy comes out at 0.09 eV per atom.

Unit cell a=4.7810 b=4.7810 c=3.4023 alpha=90.00 beta=90.00 gamma=90.00
Closest atoms and distances in Å follow each position.
Element x y z (fractional)
Tm: 0.0000 0.0000 0.0000  8 Fe 2.93
Th: 0.5000 0.5000 0.0000  8 Fe 2.93
Fe: 0.0000 0.5000 0.5000  4 Th 2.93, 4 Tm 2.93
Fe: 0.5000 0.0000 0.5000  4 Th 2.93, 4 Tm 2.93



No. 16
An optimized crystal structure of InHgMo, computed with PBE-GGA.

Results
Its total energy is -3.8111 eV/atom. The space group is F-43m. The crystal system is cubic. The formation energy comes out at 0.81 eV per atom.

Unit cell a=4.6609 b=4.6609 c=4.6609 alpha=60.00 beta=60.00 gamma=60.00
Closest atoms and distances in Å follow each position.
Element x y z (fractional)
In: 0.0000 0.0000 0.0000  4 Mo 2.85
Hg: 0.5000 0.5000 0.5000  4 Mo 2.85
Mo: 0.2500 0.2500 0.2500  4 Hg 2.85, 4 In 2.85



No. 17
An optimized crystal structure of Mg2ScAg, computed with PBE-GGA.

Results
Its total energy is -3.1890 eV/atom. The space group is Pm. The crystal system is monoclinic. The formation energy comes out at -0.10 eV per atom.

Unit cell a=3.2548 b=4.4431 c=6.1943 alpha=90.00 beta=105.14 gamma=90.00
Closest atoms and distances in Å follow each position.
Element x y z (fractional)
Mg: 0.0000 0.0000 0.0000  1 Ag 2.96, 6 Mg 3.07-3.25, 4 Sc 3.28-3.29
Mg: 0.3865 0.5000 0.7727  2 Ag 2.78, 4 Mg 3.07
Sc: 0.6507 0.5000 0.3001  4 Ag 2.99, 7 Mg 3.15-3.29, 2 Sc 3.25
Ag: 0.2478 0.0000 0.4945  3 Mg 2.78-2.96, 4 Sc 2.99



No. 18
An optimized crystal structure of LaTmSi2Ni2, computed with PBE-GGA.

Results
As for the energy relative to the elements, uncorrected: -760 meV/atom. Its total energy is -6.0611 eV/atom. The space group is P-3m1. The crystal system is trigonal.

Unit cell a=4.0291 b=4.0291 c=8.0970 alpha=90.00 beta=90.00 gamma=120.00
Closest atoms and distances in Å follow each position.
Element x y z (fractional)
La: 0.0000 0.0000 0.0000  6 Si 3.17, 6 Ni 3.22
Tm: 0.0000 0.0000 0.5000  6 Ni 2.95, 6 Si 3.00
Si: 0.3333 0.6667 0.2667  3 Ni 2.33
Si: 0.6667 0.3333 0.7333  3 Ni 2.33
Ni: 0.3333 0.6667 0.7248  3 Si 2.33
Ni: 0.6667 0.3333 0.2752  3 Si 2.33



No. 19
An optimized crystal structure of TcHg2Sb, computed with PBE-GGA.

Results
As for the energy relative to the elements, uncorrected: 495 meV/atom. Its total energy is -3.2783 eV/atom. The space group is I-42d. The crystal system is tetragonal.

Unit cell a=7.9203 b=7.9203 c=7.9203 alpha=95.81 beta=95.81 gamma=142.89
Closest atoms and distances in Å follow each position.
Element x y z (fractional)
Tc: 0.0000 0.0000 0.0000  2 Sb 2.52, 4 Hg 2.73
Tc: 0.7500 0.2500 0.5000  2 Sb 2.52, 4 Hg 2.73
Hg: 0.3750 0.1257 0.2507  2 Tc 2.73
Hg: 0.8743 0.1250 0.2493  2 Tc 2.73
Hg: 0.8750 0.1243 0.7493  2 Tc 2.73
Hg: 0.8757 0.6250 0.7507  2 Tc 2.73
Sb: 0.2500 0.7500 0.5000  2 Tc 2.52
Sb: 0.5000 0.5000 0.0000  2 Tc 2.52



No. 20
An optimized crystal structure of MgBeI3, computed with PBE-GGA.

Results
As for the energy relative to the elements, uncorrected: -71 meV/atom. Its total energy is -2.0650 eV/atom. The space group is Pm-3m. The crystal system is cubic.

Unit cell a=5.3189 b=5.3189 c=5.3189 alpha=90.00 beta=90.00 gamma=90.00
Closest atoms and distances in Å follow each position.
Element x y z (fractional)
Mg: 0.0000 0.0000 0.0000  12 I 3.76
Be: 0.5000 0.5000 0.5000  6 I 2.66
I: 0.0000 0.5000 0.5000  2 Be 2.66
I: 0.5000 0.0000 0.5000  2 Be 2.66
I: 0.5000 0.5000 0.0000  2 Be 2.66



| no. | total magnetization (μB/f.u.) |
| --- | --- |
| 1 | 2.6 |
| 2 | 0.0 |
| 3 | 0.0 |
| 4 | 4.8 |
| 5 | 4.1 |
| 6 | 0.0 |
| 7 | 0.0 |
| 8 | 0.0 |
| 9 | 7.4 |
| 10 | 0.0 |
| 11 | 0.0 |
| 12 | 5.2 |
| 13 | 0.0 |
| 14 | 0.0 |
| 15 | 1.9 |
| 16 | 2.1 |
| 17 | 0.0 |
| 18 | 0.0 |
| 19 | 0.7 |
| 20 | 0.0 |